## Li2AlIO (GGA-PBE)

Data for Li2AlIO after structural relaxation.

Output
The formation energy without anion corrections comes out at -0.9889 eV per atom. For the total energy, the calculation gives -3.805 eV/atom. The space-group type is P4/mmm (123).

a = 4.882 Å, b = 3.824 Å, c = 4.882 Å
α = 90.00°, β = 90.00°, γ = 90.00°
Fractional coordinates of all 5 atoms:
Al 0.000 0.500 0.000
Li 0.500 0.000 0.000
Li 0.000 0.000 0.500
I 0.500 0.500 0.500
O 0.000 0.000 0.000